Version i
This record from Alexandria describes a geometry-optimized La7Tb2Pr3 structure. The functional is PBE.

Calculated values
crystal system = monoclinic

```
data_La7Tb2Pr3
_chemical_formula_sum 'La7 Tb2 Pr3'
_cell_length_a 6.6148
_cell_length_b 3.6179
_cell_length_c 18.1041
_cell_angle_alpha 90.00
_cell_angle_beta 95.96
_cell_angle_gamma 90.00
_symmetry_space_group_name_H-M 'P 1 2/m 1'
_symmetry_Int_Tables_number 10
loop_
_symmetry_equiv_pos_as_xyz
'x,y,z'
'-x,-y,-z'
'-x,y,-z'
'x,-y,z'
loop_
_atom_site_label
_atom_site_fract_x
_atom_site_fract_y
_atom_site_fract_z
La1 0.0000 0.0000 0.0000
La2 0.2203 0.5000 0.1711
La3 0.2599 0.5000 0.4914
La4 0.2717 0.0000 0.8313
Tb1 0.0578 0.5000 0.6691
Pr1 0.4543 0.0000 0.3363
Pr2 0.5000 0.5000 0.0000
```


Version ii
This record from Alexandria describes a geometry-optimized La7Tb2Pr3 structure. The functional is PBE.

Calculated values
crystal system = monoclinic

```
data_La7Tb2Pr3
_chemical_formula_sum 'La7 Tb2 Pr3'
_cell_length_a 6.0515
_cell_length_b 3.6531
_cell_length_c 19.6110
_cell_angle_alpha 90.00
_cell_angle_beta 93.42
_cell_angle_gamma 90.00
_symmetry_space_group_name_H-M 'P 1 2/m 1'
_symmetry_Int_Tables_number 10
loop_
_symmetry_equiv_pos_as_xyz
'x,y,z'
'-x,-y,-z'
'-x,y,-z'
'x,-y,z'
loop_
_atom_site_label
_atom_site_fract_x
_atom_site_fract_y
_atom_site_fract_z
La1 0.0000 0.0000 0.0000
La2 0.1844 0.5000 0.1821
La3 0.2555 0.5000 0.5338
La4 0.3185 0.0000 0.8530
Tb1 0.2861 0.5000 0.7028
Pr1 0.2240 0.0000 0.3640
Pr2 0.5000 0.5000 0.0000
```


Most stable structure, least stable structure: version i, version ii.


Version i
This record from Alexandria describes a geometry-optimized La5Tb2Pr structure. The functional is PBE.

Calculated values
crystal system = orthorhombic

```
data_La5Tb2Pr
_chemical_formula_sum 'La10 Tb4 Pr2'
_cell_length_a 3.6517
_cell_length_b 11.4271
_cell_length_c 13.6608
_cell_angle_alpha 90.00
_cell_angle_beta 90.00
_cell_angle_gamma 90.00
_symmetry_space_group_name_H-M 'I m m m'
_symmetry_Int_Tables_number 71
_symmetry_space_group_name_Hall '-I 2 2'
loop_
_atom_site_label
_atom_site_fract_x
_atom_site_fract_y
_atom_site_fract_z
La1 0.0000 0.0000 0.0000
La2 0.0000 0.2678 0.3700
Tb1 0.0000 0.0000 0.2567
Pr1 0.0000 0.5000 0.0000
```


Version ii
This record from Alexandria describes a geometry-optimized La5Tb2Pr structure. The functional is PBE.

Calculated values
crystal system = orthorhombic

```
data_La5Tb2Pr
_chemical_formula_sum 'La20 Tb8 Pr4'
_cell_length_a 5.6915
_cell_length_b 12.1549
_cell_length_c 16.7959
_cell_angle_alpha 90.00
_cell_angle_beta 90.00
_cell_angle_gamma 90.00
_symmetry_space_group_name_H-M 'C m c m'
_symmetry_Int_Tables_number 63
_symmetry_space_group_name_Hall '-C 2c 2'
loop_
_atom_site_label
_atom_site_fract_x
_atom_site_fract_y
_atom_site_fract_z
La1 0.0000 0.0322 0.2500
La2 0.0000 0.1249 0.5475
La3 0.0000 0.4326 0.5964
Tb1 0.0000 0.2717 0.1360
Pr1 0.0000 0.2432 0.7500
```


Most stable structure, least stable structure: version i, version ii.


Version i
This record from Alexandria describes a geometry-optimized La2Tb2Pr3 structure. The functional is PBE.

Calculated values
crystal system = monoclinic

```
data_La2Tb2Pr3
_chemical_formula_sum 'La4 Tb4 Pr6'
_cell_length_a 12.1338
_cell_length_b 3.6926
_cell_length_c 11.0519
_cell_angle_alpha 90.00
_cell_angle_beta 95.74
_cell_angle_gamma 90.00
_symmetry_space_group_name_H-M 'C 1 2/m 1'
_symmetry_Int_Tables_number 12
loop_
_symmetry_equiv_pos_as_xyz
'x,y,z'
'-x,-y,-z'
'-x,y,-z'
'x,-y,z'
'x+1/2,y+1/2,z'
'-x+1/2,-y+1/2,-z'
'-x+1/2,y+1/2,-z'
'x+1/2,-y+1/2,z'
loop_
_atom_site_label
_atom_site_fract_x
_atom_site_fract_y
_atom_site_fract_z
La1 0.2160 0.0000 0.3552
Tb1 0.0702 0.0000 0.7876
Pr1 0.0000 0.5000 0.5000
Pr2 0.1418 0.5000 0.0703
```


Version ii
This record from Alexandria describes a geometry-optimized La2Tb2Pr3 structure. The functional is PBE.

Calculated values
crystal system = monoclinic

```
data_La2Tb2Pr3
_chemical_formula_sum 'La4 Tb4 Pr6'
_cell_length_a 18.0383
_cell_length_b 3.5904
_cell_length_c 8.7698
_cell_angle_alpha 90.00
_cell_angle_beta 118.84
_cell_angle_gamma 90.00
_symmetry_space_group_name_H-M 'C 1 2/m 1'
_symmetry_Int_Tables_number 12
loop_
_symmetry_equiv_pos_as_xyz
'x,y,z'
'-x,-y,-z'
'-x,y,-z'
'x,-y,z'
'x+1/2,y+1/2,z'
'-x+1/2,-y+1/2,-z'
'-x+1/2,y+1/2,-z'
'x+1/2,-y+1/2,z'
loop_
_atom_site_label
_atom_site_fract_x
_atom_site_fract_y
_atom_site_fract_z
La1 0.0638 0.0000 0.4122
Tb1 0.1499 0.5000 0.8382
Pr1 0.0000 0.5000 0.0000
Pr2 0.2133 0.5000 0.2956
```


Most stable structure, least stable structure: version i, version ii.


Version i
This record from Alexandria describes a geometry-optimized LaTbPr3 structure. The functional is PBE.

Calculated values
crystal system = orthorhombic

```
data_LaTbPr3
_chemical_formula_sum 'La4 Tb4 Pr12'
_cell_length_a 8.2818
_cell_length_b 14.2060
_cell_length_c 6.3419
_cell_angle_alpha 90.00
_cell_angle_beta 90.00
_cell_angle_gamma 90.00
_symmetry_space_group_name_H-M 'C m c m'
_symmetry_Int_Tables_number 63
_symmetry_space_group_name_Hall '-C 2c 2'
loop_
_atom_site_label
_atom_site_fract_x
_atom_site_fract_y
_atom_site_fract_z
La1 0.0000 0.2013 0.2500
Tb1 0.0000 0.3377 0.7500
Pr1 0.0000 0.0000 0.0000
Pr2 0.1974 0.4012 0.2500
```


Version ii
This record from Alexandria describes a geometry-optimized LaTbPr3 structure. The functional is PBE.

Calculated values
crystal system = monoclinic

```
data_LaTbPr3
_chemical_formula_sum 'La4 Tb4 Pr12'
_cell_length_a 17.8256
_cell_length_b 6.9487
_cell_length_c 6.1584
_cell_angle_alpha 90.00
_cell_angle_beta 110.13
_cell_angle_gamma 90.00
_symmetry_space_group_name_H-M 'C 1 2/m 1'
_symmetry_Int_Tables_number 12
loop_
_symmetry_equiv_pos_as_xyz
'x,y,z'
'-x,-y,-z'
'-x,y,-z'
'x,-y,z'
'x+1/2,y+1/2,z'
'-x+1/2,-y+1/2,-z'
'-x+1/2,y+1/2,-z'
'x+1/2,-y+1/2,z'
loop_
_atom_site_label
_atom_site_fract_x
_atom_site_fract_y
_atom_site_fract_z
La1 0.0000 0.0000 0.0000
La2 0.0000 0.0000 0.5000
Tb1 0.0501 0.5000 0.3001
Pr1 0.1527 0.2672 0.9024
Pr2 0.2263 0.0000 0.4759
```


Most stable structure, least stable structure: version ii, version i.


Version i
This record from Alexandria describes a geometry-optimized La2PrTc structure. The functional is PBE.

Calculated values
crystal system = trigonal

```
data_La2PrTc
_chemical_formula_sum 'La6 Pr3 Tc3'
_cell_length_a 4.8943
_cell_length_b 4.8943
_cell_length_c 16.2350
_cell_angle_alpha 90.00
_cell_angle_beta 90.00
_cell_angle_gamma 120.00
_symmetry_space_group_name_H-M 'R -3 m'
_symmetry_Int_Tables_number 166
_symmetry_space_group_name_Hall '-R 3 2"'
loop_
_atom_site_label
_atom_site_fract_x
_atom_site_fract_y
_atom_site_fract_z
La1 0.0000 0.0000 0.2310
Pr1 0.0000 0.0000 0.0000
Tc1 0.0000 0.0000 0.5000
```


Version ii
This record from Alexandria describes a geometry-optimized La2PrTc structure. The functional is PBE.

Calculated values
crystal system = orthorhombic

```
data_La2PrTc
_chemical_formula_sum 'La8 Pr4 Tc4'
_cell_length_a 7.4473
_cell_length_b 9.9134
_cell_length_c 6.6873
_cell_angle_alpha 90.00
_cell_angle_beta 90.00
_cell_angle_gamma 90.00
_symmetry_space_group_name_H-M 'P n m a'
_symmetry_Int_Tables_number 62
loop_
_symmetry_equiv_pos_as_xyz
'x,y,z'
'-x,-y,-z'
'-x+1/2,-y,z+1/2'
'x+1/2,y,-z+1/2'
'x+1/2,-y+1/2,-z+1/2'
'-x+1/2,y+1/2,z+1/2'
'-x,y+1/2,-z'
'x,-y+1/2,z'
loop_
_atom_site_label
_atom_site_fract_x
_atom_site_fract_y
_atom_site_fract_z
La1 0.1740 0.0700 0.1644
Pr1 0.0604 0.2500 0.6393
Tc1 0.0772 0.7500 0.9422
```


Version iii
This record from Alexandria describes a geometry-optimized La2PrTc structure. The functional is PBE.

Calculated values
crystal system = tetragonal

```
data_La2PrTc
_chemical_formula_sum 'La2 Pr1 Tc1'
_cell_length_a 3.5623
_cell_length_b 3.5623
_cell_length_c 9.4765
_cell_angle_alpha 90.00
_cell_angle_beta 90.00
_cell_angle_gamma 90.00
_symmetry_space_group_name_H-M 'P 4/m m m'
_symmetry_Int_Tables_number 123
_symmetry_space_group_name_Hall '-P 4 2'
loop_
_atom_site_label
_atom_site_fract_x
_atom_site_fract_y
_atom_site_fract_z
La1 0.0000 0.0000 0.1847
Pr1 0.5000 0.5000 0.5000
Tc1 0.5000 0.5000 0.0000
```


Version iv
This record from Alexandria describes a geometry-optimized La2PrTc structure. The functional is PBE.

Calculated values
crystal system = monoclinic

```
data_La2PrTc
_chemical_formula_sum 'La4 Pr2 Tc2'
_cell_length_a 4.0914
_cell_length_b 9.6208
_cell_length_c 6.5635
_cell_angle_alpha 90.00
_cell_angle_beta 108.06
_cell_angle_gamma 90.00
_symmetry_space_group_name_H-M 'P 1 21/m 1'
_symmetry_Int_Tables_number 11
loop_
_symmetry_equiv_pos_as_xyz
'x,y,z'
'-x,-y,-z'
'-x,y+1/2,-z'
'x,-y+1/2,z'
loop_
_atom_site_label
_atom_site_fract_x
_atom_site_fract_y
_atom_site_fract_z
La1 0.1438 0.0731 0.2881
Pr1 0.4215 0.2500 0.8409
Tc1 0.2433 0.7500 0.4901
```


Most stable structure, least stable structure: version ii, version i.